Record 1
Material: MnNi2SCl
Method: DFT, PBE
State: optimized geometry

Output
Space group: P4/mmm (123)
Theoretical density (Mg/m³): 4.7
Total magnetic moment (Bohr magnetons per cell): 5.970
Energy relative to the elements, uncorrected (eV per atom): 0.555

Cell lengths 4.104, 4.104, 4.983 Å; angles 90.00, 90.00, 90.00 degrees
Fractional coordinates of all 5 atoms:
Mn 0.000 0.000 0.000
Ni 0.000 0.500 0.500
Ni 0.500 0.000 0.500
S 0.500 0.500 0.000
Cl 0.000 0.000 0.500

Record 2
Material: TlNi4Ag
Method: DFT, PBE
State: optimized geometry

Output
Energy relative to the elements (meV/atom): 200
Space group: F-43m (216)
Theoretical density (Mg/m³): 10.9
Total magnetic moment (Bohr magnetons per cell): 1.753

Cell lengths 4.910, 4.910, 4.910 Å; angles 60.00, 60.00, 60.00 degrees
Fractional coordinates of all 6 atoms:
Tl 0.000 0.000 0.000
Ni 0.375 0.375 0.375
Ni 0.375 0.375 0.874
Ni 0.375 0.874 0.375
Ni 0.874 0.375 0.375
Ag 0.750 0.750 0.750

Record 3
Material: Dy8Ho3Sc3
Method: DFT, PBE
State: optimized geometry

Output
Energy relative to the elements (meV/atom): 125
Space group: Immm (71)
Theoretical density (Mg/m³): 7.6
Total magnetic moment (Bohr magnetons per cell): 0.000

Cell lengths 9.434, 9.434, 9.434 Å; angles 146.12, 112.85, 77.38 degrees
Fractional coordinates of all 14 atoms:
Dy 0.059 0.398 0.661
Dy 0.061 0.220 0.841
Dy 0.263 0.602 0.661
Dy 0.378 0.220 0.159
Dy 0.622 0.780 0.841
Dy 0.737 0.398 0.339
Dy 0.939 0.780 0.159
Dy 0.941 0.602 0.339
Ho 0.324 0.824 0.500
Ho 0.500 0.500 0.000
Ho 0.676 0.176 0.500
Sc 0.000 0.000 0.000
Sc 0.294 0.000 0.294
Sc 0.706 0.000 0.706

Record 4
Material: AcHCl2
Method: DFT, PBE
State: optimized geometry

Output
Space group: P2_1/m (11)
Theoretical density (Mg/m³): 5.0
Total magnetic moment (Bohr magnetons per cell): 0.000
E_tot (eV/atom): -4.6193

Cell lengths 6.939, 4.283, 7.031 Å; angles 90.00, 109.64, 90.00 degrees
Fractional coordinates of all 8 atoms:
Ac 0.162 0.250 0.342
Ac 0.838 0.750 0.658
H 0.123 0.750 0.522
H 0.877 0.250 0.478
Cl 0.132 0.250 0.892
Cl 0.448 0.750 0.291
Cl 0.552 0.250 0.709
Cl 0.868 0.750 0.108

Record 5
Material: K4NpU3Se8
Method: DFT, PBE
State: optimized geometry

Output
Space group: R-3m (166)
Theoretical density (Mg/m³): 6.1
Total magnetic moment (Bohr magnetons per cell): 13.001
Energy relative to the elements, uncorrected (eV per atom): -1.243

Cell lengths 9.153, 9.153, 9.153 Å; angles 54.85, 54.85, 54.85 degrees
Fractional coordinates of all 16 atoms:
K 0.000 0.000 0.000
K 0.000 0.500 0.500
K 0.500 0.000 0.500
K 0.500 0.500 0.000
Np 0.500 0.500 0.500
U 0.000 0.000 0.500
U 0.000 0.500 0.000
U 0.500 0.000 0.000
Se 0.234 0.737 0.737
Se 0.236 0.236 0.236
Se 0.263 0.263 0.766
Se 0.263 0.766 0.263
Se 0.737 0.234 0.737
Se 0.737 0.737 0.234
Se 0.764 0.764 0.764
Se 0.766 0.263 0.263

Record 6
Material: SmHoPbAu
Method: DFT, PBE
State: optimized geometry

Output
Energy relative to the elements (meV/atom): -603
Space group: F-43m (216)
Theoretical density (Mg/m³): 11.3
Total magnetic moment (Bohr magnetons per cell): 3.063

Cell lengths 7.498, 7.498, 7.498 Å; angles 90.00, 90.00, 90.00 degrees
Fractional coordinates of all 16 atoms:
Sm 0.000 0.000 0.000
Sm 0.000 0.500 0.500
Sm 0.500 0.000 0.500
Sm 0.500 0.500 0.000
Ho 0.000 0.000 0.500
Ho 0.000 0.500 0.000
Ho 0.500 0.000 0.000
Ho 0.500 0.500 0.500
Pb 0.250 0.250 0.250
Pb 0.250 0.750 0.750
Pb 0.750 0.250 0.750
Pb 0.750 0.750 0.250
Au 0.250 0.250 0.750
Au 0.250 0.750 0.250
Au 0.750 0.250 0.250
Au 0.750 0.750 0.750